# BaSb2Pb4 PBE relaxed
# Raw formation energy ... -166 kJ/mol of formula units
# Fermi-level density of states ... 6.6 states/eV per cell
# Total moment ... 0.00 μB/f.u.
# DFT total energy ... -3.817 eV per atom
data_BaSb2Pb4
_space_group_name_H-M_alt 'P 42/m n m'
_space_group_IT_number 136
_space_group_name_Hall '-P 4n 2n'
_cell_length_a 9.515
_cell_length_b 9.515
_cell_length_c 5.425
_cell_angle_alpha 90.00
_cell_angle_beta 90.00
_cell_angle_gamma 90.00
loop_
_atom_site_label
_atom_site_type_symbol
_atom_site_fract_x
_atom_site_fract_y
_atom_site_fract_z
_atom_site_occupancy
Ba1 Ba 0.000 0.000 0.000 1
Sb1 Sb 0.211 0.211 0.500 1
Pb1 Pb 0.093 0.654 0.500 1